(1)
The following is a PBEsol calculation of a geometry-optimized SrAgPb structure, from Alexandria via LeMat-Bulk.

The structure in extended XYZ format:
```
3
Lattice="4.969 0.000 0.000 -2.485 4.304 0.000 0.000 0.000 3.848" Properties=species:S:1:pos:R:3 pbc="T T T"
Sr 0.000 0.000 0.000
Ag 0.000 2.869 1.924
Pb 2.485 1.435 1.924
```

Results
The value obtained for the formation enthalpy at 0 K is -415 meV/atom. The space group is No. 187. The value obtained for the magnetization is 0.000 μB/atom. Its density is 8.1 g cm⁻³.



(2)
The following is a PBEsol calculation of a geometry-optimized TaAg2Pb structure, from Alexandria via LeMat-Bulk.

The structure in extended XYZ format:
```
4
Lattice="-1.478 2.493 5.265 1.478 -2.493 5.265 1.478 2.493 -5.265" Properties=species:S:1:pos:R:3 pbc="T T T"
Ta 0.000 0.000 0.000
Ag 1.478 0.000 2.490
Ag 0.000 2.493 2.776
Pb 0.000 0.000 5.265
```

Results
The value obtained for the formation enthalpy at 0 K is 400 meV/atom. The space group is No. 71. The value obtained for the magnetization is 0.000 μB/atom. Its density is 12.9 g cm⁻³.



(3)
The following is a PBEsol calculation of a geometry-optimized TaAgPb structure, from Alexandria via LeMat-Bulk.

The structure in extended XYZ format:
```
3
Lattice="3.061 0.000 0.000 -1.530 2.651 0.000 0.000 0.000 7.462" Properties=species:S:1:pos:R:3 pbc="T T T"
Ta 0.000 0.000 0.000
Ag 0.000 1.767 5.188
Pb 1.530 0.884 2.548
```

Results
The value obtained for the formation enthalpy at 0 K is 421 meV/atom. The space group is No. 156. The value obtained for the magnetization is 0.000 μB/atom. Its density is 13.6 g cm⁻³.



(4)
The following is a PBEsol calculation of a geometry-optimized TaAg2Pb structure, from Alexandria via LeMat-Bulk.

The structure in extended XYZ format:
```
4
Lattice="1.513 0.874 9.823 -1.513 0.874 9.823 0.000 -1.747 9.823" Properties=species:S:1:pos:R:3 pbc="T T T"
Ta 0.000 0.000 0.000
Ag 0.000 0.000 7.534
Ag 0.000 0.000 15.108
Pb 0.000 0.000 22.238
```

Results
The value obtained for the formation enthalpy at 0 K is 353 meV/atom. The space group is No. 160. The value obtained for the magnetization is 0.000 μB/atom. Its density is 12.9 g cm⁻³.



> What is the magnetization in the second record?

0.000 μB/atom



> Which value of formation enthalpy at 0 K does entry 4 give?

353 meV/atom



> Which of these has the highest formation enthalpy at 0 K?

TaAgPb



> Which formula does entry 1 have?

SrAgPb